This record from Alexandria via LeMat-Bulk describes CsAgTe3 after structural relaxation. The functional is PBE.

- Energy: -1.512 eV per atom
- Formation energy (no corrections): 1.11 eV/atom

Unit cell a=6.3880 b=6.3880 c=6.3880 alpha=90.00 beta=90.00 gamma=90.00
Space group Pm-3m (No. 221)
Unique sites:
1 Cs 0.0000 0.0000 0.0000
2 Ag 0.5000 0.5000 0.5000
3 Te 0.0000 0.0000 0.5000

***

This record from Alexandria via LeMat-Bulk describes CsAgTe3 after structural relaxation. The functional is PBE.

- Energy: -2.886 eV per atom
- Formation energy (no corrections): -0.26 eV/atom

Unit cell a=6.7439 b=6.7439 c=14.1397 alpha=90.00 beta=90.00 gamma=120.00
Space group R3m (No. 160, hexagonal axes)
Unique sites:
1 Cs 0.0000 0.0000 0.0000
2 Ag 0.0000 0.0000 0.3916
3 Te 0.1681 0.3362 0.2255

***

This record from Alexandria via LeMat-Bulk describes CsAgTe2 after structural relaxation. The functional is PBE.

- Energy: -2.962 eV per atom
- Formation energy (no corrections): -0.46 eV/atom

Unit cell a=7.9860 b=7.2392 c=13.3649 alpha=90.00 beta=123.49 gamma=90.00
Space group P2_1/c (No. 14)
Unique sites:
1 Cs 0.0916 0.0494 0.1876
2 Ag 0.3916 0.6099 0.0355
3 Te 0.1642 0.5434 0.1202
4 Te 0.4508 0.1566 0.0472

***

This record from Alexandria via LeMat-Bulk describes CsAgTe2 after structural relaxation. The functional is PBE.

- Energy: -2.947 eV per atom
- Formation energy (no corrections): -0.45 eV/atom

Unit cell a=6.0965 b=6.0965 c=18.8731 alpha=90.00 beta=90.00 gamma=90.00
Space group I-42d (No. 122)
Unique sites:
1 Cs 0.0000 0.0000 0.0000
2 Ag 0.0000 0.0000 0.5000
3 Te 0.0595 0.2500 0.6250